1.
This record from the Alexandria database describes a relaxed LiPa2Ni crystal. The functional is PBE-GGA.

Results
The energy relative to the elements is 242 meV/atom. As for the crystal system: trigonal.

Cell lengths 3.1339, 3.1339, 31.9384 Å; angles 90.00, 90.00, 120.00 degrees
Space group R-3m (No. 166, hexagonal axes)
One atom of each set of equivalent atoms:
Li: 0.0000 0.0000 0.0000 [3 per cell]
Pa: 0.0000 0.0000 0.1004 [6 per cell]
Ni: 0.0000 0.0000 0.5000 [3 per cell]

=====

2.
This record from the Alexandria database describes a relaxed Sm2ScC2I2 crystal. The functional is PBE-GGA.

Results
As for the crystal system: tetragonal.

Cell lengths 4.2900, 4.2900, 20.5252 Å; angles 90.00, 90.00, 90.00 degrees
Space group I4/mmm (No. 139)
One atom of each set of equivalent atoms:
Sm: 0.0000 0.0000 0.0764 [4 per cell]
Sc: 0.0000 0.0000 0.5000 [2 per cell]
C: 0.0000 0.5000 0.0000 [4 per cell]
I: 0.0000 0.0000 0.3418 [4 per cell]

=====

3.
This record from the Alexandria database describes a relaxed Cs2Pb3 crystal. The functional is PBE-GGA.

Results
The energy relative to the elements is -122 meV/atom. As for the crystal system: orthorhombic. Its energy above the most stable polymorph in this dataset is 72 meV/atom.

Cell lengths 6.6584, 14.4179, 9.6950 Å; angles 90.00, 90.00, 90.00 degrees
Space group Cmce (No. 64)
One atom of each set of equivalent atoms:
Cs: 0.0000 0.1583 0.1107 [8 per cell]
Pb: 0.0000 0.0000 0.5000 [4 per cell]
Pb: 0.2500 0.0921 0.7500 [8 per cell]

=====

4.
This record from the Alexandria database describes a relaxed CsMgTcSe crystal. The functional is PBE-GGA.

Results
As for the crystal system: monoclinic. Its energy above the most stable polymorph in this dataset is 126 meV/atom.

Cell lengths 9.6010, 3.9342, 7.6651 Å; angles 90.00, 113.64, 90.00 degrees
Space group Cm (No. 8)
One atom of each set of equivalent atoms:
Cs: 0.0000 0.0000 0.0000 [2 per cell]
Mg: 0.1617 0.0000 0.5692 [2 per cell]
Tc: 0.4210 0.0000 0.5061 [2 per cell]
Se: 0.3127 0.5000 0.3460 [2 per cell]

=====

5.
This record from the Alexandria database describes a relaxed Pr2Sm5YTh crystal. The functional is PBE-GGA.

Results
The energy relative to the elements is 152 meV/atom. As for the crystal system: orthorhombic.

Cell lengths 5.7233, 20.6286, 10.5899 Å; angles 90.00, 90.00, 90.00 degrees
Space group Cmc2_1 (No. 36)
One atom of each set of equivalent atoms:
Pr: 0.0000 0.1153 0.0000 [4 per cell]
Pr: 0.0000 0.1157 0.5853 [4 per cell]
Sm: 0.0000 0.0151 0.2970 [4 per cell]
Sm: 0.0000 0.2749 0.0012 [4 per cell]
Sm: 0.0000 0.2956 0.6105 [4 per cell]
Sm: 0.0000 0.3867 0.2909 [4 per cell]
Sm: 0.0000 0.4810 0.5728 [4 per cell]
Y: 0.0000 0.4059 0.8586 [4 per cell]
Th: 0.0000 0.1992 0.3034 [4 per cell]

=====

6.
This record from the Alexandria database describes a relaxed MnBe2Rh crystal. The functional is PBE-GGA.

Results
The energy relative to the elements is 227 meV/atom. As for the crystal system: tetragonal. Its energy above the most stable polymorph in this dataset is 648 meV/atom.

Cell lengths 5.8923, 5.8923, 4.9931 Å; angles 90.00, 90.00, 90.00 degrees
Space group I-42d (No. 122)
One atom of each set of equivalent atoms:
Mn: 0.0000 0.0000 0.0000 [4 per cell]
Be: 0.2461 0.2500 0.1250 [8 per cell]
Rh: 0.0000 0.0000 0.5000 [4 per cell]

=====

7.
This record from the Alexandria database describes a relaxed Tb2Ce2Tm7 crystal. The functional is PBE-GGA.

Results
The energy relative to the elements is 205 meV/atom. As for the crystal system: monoclinic.

Cell lengths 10.9845, 11.4601, 5.9240 Å; angles 90.00, 112.94, 90.00 degrees
Space group C2/m (No. 12)
One atom of each set of equivalent atoms:
Tb: 0.2312 0.0000 0.0879 [4 per cell]
Ce: 0.0000 0.2151 0.0000 [4 per cell]
Tm: 0.0000 0.0000 0.5000 [2 per cell]
Tm: 0.0938 0.5000 0.3067 [4 per cell]
Tm: 0.1720 0.2363 0.6711 [8 per cell]

=====

8.
This record from the Alexandria database describes a relaxed NaPr2Br6 crystal. The functional is PBE-GGA.

Results
As for the crystal system: tetragonal. Its energy above the most stable polymorph in this dataset is 0 meV/atom.

Cell lengths 7.1651, 7.1651, 12.7057 Å; angles 90.00, 90.00, 90.00 degrees
Space group P4_2/mnm (No. 136)
One atom of each set of equivalent atoms:
Na: 0.0000 0.0000 0.0000 [2 per cell]
Pr: 0.0000 0.0000 0.3460 [4 per cell]
Br: 0.2061 0.2061 0.1718 [8 per cell]
Br: 0.2157 0.2157 0.5000 [4 per cell]

=====

9.
This record from the Alexandria database describes a relaxed SmHf2Sc6 crystal. The functional is PBE-GGA.

Results
The energy relative to the elements is 64 meV/atom. As for the crystal system: hexagonal.

Cell lengths 3.2961, 3.2961, 23.9399 Å; angles 90.00, 90.00, 120.00 degrees
Space group P-6m2 (No. 187)
One atom of each set of equivalent atoms:
Sm: 0.0000 0.0000 0.0000 [1 per cell]
Hf: 0.6667 0.3333 0.3334 [2 per cell]
Sc: 0.0000 0.0000 0.2287 [2 per cell]
Sc: 0.0000 0.0000 0.4360 [2 per cell]
Sc: 0.6667 0.3333 0.1195 [2 per cell]

=====

10.
This record from the Alexandria database describes a relaxed Dy2ErHg8 crystal. The functional is PBE-GGA.

Results
The energy relative to the elements is -306 meV/atom. As for the crystal system: monoclinic.

Cell lengths 15.9513, 4.9263, 7.2179 Å; angles 90.00, 109.29, 90.00 degrees
Space group C2/m (No. 12)
One atom of each set of equivalent atoms:
Dy: 0.2151 0.0000 0.1564 [4 per cell]
Er: 0.0000 0.5000 0.5000 [2 per cell]
Hg: 0.0283 0.0000 0.2306 [4 per cell]
Hg: 0.0971 0.5000 0.9521 [4 per cell]
Hg: 0.1498 0.0000 0.6811 [4 per cell]
Hg: 0.1706 0.5000 0.3996 [4 per cell]

=====

11.
This record from the Alexandria database describes a relaxed BaSr2P crystal. The functional is PBE-GGA.

Results
The energy relative to the elements is -144 meV/atom. As for the crystal system: tetragonal.

Cell lengths 5.0041, 5.0041, 11.7870 Å; angles 90.00, 90.00, 90.00 degrees
Space group I4/mmm (No. 139)
One atom of each set of equivalent atoms:
Ba: 0.0000 0.0000 0.0000 [2 per cell]
Sr: 0.0000 0.5000 0.2500 [4 per cell]
P: 0.0000 0.0000 0.5000 [2 per cell]

=====

12.
This record from the Alexandria database describes a relaxed Mg2SbC crystal. The functional is PBE-GGA.

Results
As for the crystal system: tetragonal. Its energy above the most stable polymorph in this dataset is 0 meV/atom.

Cell lengths 7.4479, 7.4479, 5.3884 Å; angles 90.00, 90.00, 90.00 degrees
Space group I-42d (No. 122)
One atom of each set of equivalent atoms:
Mg: 0.1320 0.7500 0.1250 [8 per cell]
Sb: 0.0000 0.0000 0.5000 [4 per cell]
C: 0.0000 0.0000 0.0000 [4 per cell]

=====

13.
This record from the Alexandria database describes a relaxed KUTcN4 crystal. The functional is PBE-GGA.

Results
As for the crystal system: monoclinic.

Cell lengths 5.9757, 5.6559, 7.6631 Å; angles 90.00, 107.91, 90.00 degrees
Space group P2_1/m (No. 11)
One atom of each set of equivalent atoms:
K: 0.1974 0.2500 0.4369 [2 per cell]
U: 0.2954 0.2500 0.9585 [2 per cell]
Tc: 0.2467 0.7500 0.1556 [2 per cell]
N: 0.0150 0.7500 0.9372 [2 per cell]
N: 0.0474 0.7500 0.2914 [2 per cell]
N: 0.4823 0.5109 0.1676 [4 per cell]

=====

14.
This record from the Alexandria database describes a relaxed Sr5BO8 crystal. The functional is PBE-GGA.

Results
As for the crystal system: tetragonal.

Cell lengths 7.5056, 7.5056, 8.5516 Å; angles 90.00, 90.00, 90.00 degrees
Space group I-4 (No. 82)
One atom of each set of equivalent atoms:
Sr: 0.0000 0.0000 0.0000 [2 per cell]
Sr: 0.1241 0.2920 0.5976 [8 per cell]
B: 0.0000 0.5000 0.2500 [2 per cell]
O: 0.0289 0.6640 0.3414 [8 per cell]
O: 0.0956 0.2810 0.8850 [8 per cell]

=====

15.
This record from the Alexandria database describes a relaxed KZrCo2 crystal. The functional is PBE-GGA.

Results
The energy relative to the elements is 401 meV/atom. As for the crystal system: orthorhombic. Its energy above the most stable polymorph in this dataset is 0 meV/atom.

Cell lengths 3.3127, 3.3594, 7.7356 Å; angles 90.00, 90.00, 90.00 degrees
Space group Pmmm (No. 47)
One atom of each set of equivalent atoms:
K: 0.0000 0.0000 0.0000 [1 per cell]
Zr: 0.0000 0.0000 0.5000 [1 per cell]
Co: 0.5000 0.5000 0.3385 [2 per cell]

=====

16.
This record from the Alexandria database describes a relaxed HoTmCuTc crystal. The functional is PBE-GGA.

Results
The energy relative to the elements is -139 meV/atom. As for the crystal system: cubic.

Cell lengths 6.8208, 6.8208, 6.8208 Å; angles 90.00, 90.00, 90.00 degrees
Space group F-43m (No. 216)
One atom of each set of equivalent atoms:
Ho: 0.0000 0.0000 0.0000 [4 per cell]
Tm: 0.0000 0.0000 0.5000 [4 per cell]
Cu: 0.2500 0.2500 0.2500 [4 per cell]
Tc: 0.2500 0.2500 0.7500 [4 per cell]

=====

17.
This record from the Alexandria database describes a relaxed Nd2Pt9Au crystal. The functional is PBE-GGA.

Results
The energy relative to the elements is -559 meV/atom. As for the crystal system: trigonal.

Cell lengths 5.4455, 5.4455, 26.5404 Å; angles 90.00, 90.00, 120.00 degrees
Space group R-3m (No. 166, hexagonal axes)
One atom of each set of equivalent atoms:
Nd: 0.0000 0.0000 0.1341 [6 per cell]
Pt: 0.0000 0.0000 0.3325 [6 per cell]
Pt: 0.0000 0.0000 0.5000 [3 per cell]
Pt: 0.0039 0.5019 0.9157 [18 per cell]
Au: 0.0000 0.0000 0.0000 [3 per cell]

=====

18.
This record from the Alexandria database describes a relaxed CdSbSe2 crystal. The functional is PBE-GGA.

Results
As for the crystal system: tetragonal. Its energy above the most stable polymorph in this dataset is 270 meV/atom.

Cell lengths 3.6005, 3.6005, 7.1269 Å; angles 90.00, 90.00, 90.00 degrees
Space group P4/mmm (No. 123)
One atom of each set of equivalent atoms:
Cd: 0.0000 0.0000 0.0000 [1 per cell]
Sb: 0.0000 0.0000 0.5000 [1 per cell]
Se: 0.5000 0.5000 0.2528 [2 per cell]

=====

19.
This record from the Alexandria database describes a relaxed BeCu4 crystal. The functional is PBE-GGA.

Results
The energy relative to the elements is 395 meV/atom. As for the crystal system: tetragonal. Its energy above the most stable polymorph in this dataset is 430 meV/atom.

Cell lengths 3.2270, 3.2270, 12.3983 Å; angles 90.00, 90.00, 90.00 degrees
Space group I4/mmm (No. 139)
One atom of each set of equivalent atoms:
Be: 0.0000 0.0000 0.0000 [2 per cell]
Cu: 0.0000 0.0000 0.4065 [4 per cell]
Cu: 0.0000 0.5000 0.2500 [4 per cell]

=====

20.
This record from the Alexandria database describes a relaxed Ba2TcTe crystal. The functional is PBE-GGA.

Results
As for the crystal system: cubic. Its energy above the most stable polymorph in this dataset is 244 meV/atom.

Cell lengths 8.3008, 8.3008, 8.3008 Å; angles 90.00, 90.00, 90.00 degrees
Space group Fm-3m (No. 225)
One atom of each set of equivalent atoms:
Ba: 0.2500 0.2500 0.2500 [8 per cell]
Tc: 0.0000 0.0000 0.0000 [4 per cell]
Te: 0.0000 0.0000 0.5000 [4 per cell]

=====

no.,total moment (μB per cell),VASP energy (eV per atom)
1,0.0,-6.43
2,0.0,-5.97
3,0.0,-2.69
4,0.0,-3.90
5,0.0,-5.07
6,0.0,-5.77
7,4.3,-4.56
8,2.0,-4.02
9,1.8,-6.89
10,0.0,-1.78
11,0.0,-2.82
12,0.0,-3.61
13,0.0,-8.47
14,6.0,-6.04
15,2.2,-5.56
16,0.0,-6.02
17,0.0,-6.16
18,0.0,-3.00
19,0.0,-3.63
20,12.0,-4.21